[1]
SrYCr2: relaxed, PBE.

```
SrYCr2
1.0
-2.6560 5.6384 5.3676
-7.7848 -1.9120 -1.8436
-5.2268 -0.3893 4.1250
Y Sr Cr
2 2 4
Direct
0.0000 0.0000 0.0000 Y
0.7500 0.2500 0.5000 Y
0.5000 0.5000 0.0000 Sr
0.2500 0.7500 0.5000 Sr
0.6394 0.1250 0.2500 Cr
0.1106 0.6250 0.2500 Cr
0.3750 0.3606 0.7500 Cr
0.8750 0.8894 0.7500 Cr
```

Computed properties:
size of the total moment = 16.2 Bohr magnetons per cell
symmetry = No. 122
E above lowest polymorph = 512 meV/atom
calculated total energy = -5.856 eV per atom
formation energy = 0.99 eV/atom

=====

[2]
SrYCr2: relaxed, PBE.

```
SrYCr2
1.0
-5.0924 0.2831 0.0497
-4.1045 -2.8921 -0.8963
-1.2066 -2.3273 6.5517
Cr Sr Y
2 1 1
Direct
0.9987 0.9987 0.0738 Cr
0.5013 0.5013 0.4262 Cr
0.7500 0.7500 0.7500 Sr
0.2500 0.2500 0.2500 Y
```

Computed properties:
size of the total moment = 7.6 Bohr magnetons per cell
symmetry = No. 12
E above lowest polymorph = 401 meV/atom
calculated total energy = -5.967 eV per atom
formation energy = 0.88 eV/atom

=====

[3]
SrYCr2: relaxed, PBE.

```
SrYCr2
1.0
4.4281 -2.9359 0.0959
0.1352 -4.6866 -2.5008
2.9035 -0.5737 -4.4132
Y Sr Cr
1 1 2
Direct
0.5000 0.5000 0.5000 Y
0.0000 0.0000 0.0000 Sr
0.2500 0.2500 0.2500 Cr
0.7500 0.7500 0.7500 Cr
```

Computed properties:
size of the total moment = 8.0 Bohr magnetons per cell
symmetry = No. 225
E above lowest polymorph = 235 meV/atom
calculated total energy = -6.133 eV per atom
formation energy = 0.72 eV/atom

=====

[4]
SrYCr2: relaxed, PBE.

```
SrYCr2
1.0
5.2961 0.0000 0.0000
2.6480 4.5865 0.0000
2.6480 1.5288 4.3242
Cr Sr Y
2 1 1
Direct
0.0000 0.0000 0.0000 Cr
0.2500 0.2500 0.2500 Cr
0.5000 0.5000 0.5000 Sr
0.7500 0.7500 0.7500 Y
```

Computed properties:
size of the total moment = 8.8 Bohr magnetons per cell
symmetry = No. 216
E above lowest polymorph = 416 meV/atom
calculated total energy = -5.953 eV per atom
formation energy = 0.90 eV/atom